A plane-wave DFT calculation with PBE+U was carried out for crystalline UCo2NiO8 at its relaxed geometry.

Summary:
**E**: -78.36 eV/f.u.

The structure in POSCAR format:
```
UCo2NiO8
1.0
-3.340 3.340 3.298
3.340 -3.340 3.298
3.340 3.340 -3.298
U Co Ni O
1 2 1 8
Direct
0.000 0.000 0.000
0.500 0.500 0.000
0.750 0.250 0.500
0.250 0.750 0.500
0.317 0.132 0.815
0.317 0.503 0.185
0.359 0.059 0.300
0.497 0.683 0.815
0.758 0.059 0.700
0.868 0.683 0.185
0.941 0.242 0.300
0.941 0.641 0.700
```